Computed, not measured: crystalline DyCoNiGe2 at its relaxed geometry at the PBE level of DFT.

Structure (extended XYZ):
```
5
Lattice="3.0475 -0.9034 4.7629 4.2277 3.5739 1.4637 -5.4829 0.2416 -1.6335" Properties=species:S:1:pos:R:3 pbc="T T T"
Co 3.6376 1.3353 3.1133
Dy 1.1912 2.5754 1.4717
Ge -0.3366 -0.0075 2.3188
Ge 1.5388 0.6809 3.9239
Ni 0.0000 0.0000 0.0000
```

Values from the calculation:
- Spin magnetization: 1.2 μB per cell
- Calculated total energy: -29.72 eV/cell

***

Computed, not measured: crystalline AgTeAu at its relaxed geometry at the PBE level of DFT.

Structure (extended XYZ):
```
12
Lattice="-3.7561 -5.9602 -2.1409 2.1795 0.0098 -3.8510 5.9014 -4.9143 3.3274" Properties=species:S:1:pos:R:3 pbc="T T T"
Ag -0.3001 -6.5614 -3.9999
Ag 1.6365 -3.6301 -2.8964
Ag 2.6882 -7.2347 0.2319
Ag 4.6248 -4.3033 1.3354
Au -1.1454 -3.9646 -1.9294
Au 2.6212 -2.5571 0.2059
Au 1.7035 -8.3076 -2.8704
Au 5.4701 -6.9002 -0.7351
Te 0.3108 -1.5911 -1.0992
Te 0.3732 -6.1871 -1.0756
Te 3.9515 -4.6777 -1.5889
Te 4.0139 -9.2737 -1.5653
```

Values from the calculation:
- Calculated total energy: -36.39 eV/cell

***

Computed, not measured: crystalline DyErCuS3 at its relaxed geometry at the PBE level of DFT.

Structure (extended XYZ):
```
12
Lattice="-1.9325 5.7233 -2.5242 -1.8008 -5.6869 2.6979 0.4650 4.1802 9.1220" Properties=species:S:1:pos:R:3 pbc="T T T"
Cu -1.7530 1.2887 2.2641
Cu -1.5153 2.9279 7.0315
Dy -1.7149 -2.0081 3.7730
Dy -1.5533 6.2247 5.5226
Er 0.0000 0.0000 0.0000
Er 0.2325 2.0901 4.5610
S -1.8497 1.9789 0.0409
S -1.8036 5.6715 0.2583
S -1.6889 3.4239 3.1942
S -1.5793 0.7927 6.1014
S -1.4647 -1.4549 9.0374
S -1.4186 2.2377 9.2547
```

Values from the calculation:
- Spin magnetization: 0.0 μB per cell
- Calculated total energy: -68.95 eV/cell

***

Computed, not measured: crystalline Rb2Nb2Ni3 at its relaxed geometry at the PBE level of DFT.

Structure (extended XYZ):
```
7
Lattice="4.9732 -11.4569 -1.7413 6.2789 -10.7045 2.2388 2.3905 -12.2859 1.5381" Properties=species:S:1:pos:R:3 pbc="T T T"
Nb 8.1246 -20.5145 1.2122
Nb 13.4292 -33.9085 2.0037
Ni 3.9816 -10.0535 0.5941
Ni 9.0048 -22.7369 1.3436
Ni 12.5302 -31.6386 1.8696
Rb 2.4777 -6.2561 0.3697
Rb 10.1382 -25.5989 1.5127
```

Values from the calculation:
- Spin magnetization: 0.0 μB per cell
- Calculated total energy: -36.87 eV/cell

***

Computed, not measured: crystalline HfMgNiAs at its relaxed geometry at the PBE level of DFT.

Structure (extended XYZ):
```
4
Lattice="3.0593 -3.3580 -0.3471 -0.5003 -3.8007 2.4617 -1.1307 -3.9088 -2.0490" Properties=species:S:1:pos:R:3 pbc="T T T"
As 0.0000 0.0000 0.0000
Hf 0.3571 -2.7669 0.0164
Mg 0.7141 -5.5338 0.0328
Ni 1.0712 -8.3006 0.0492
```

Values from the calculation:
- Spin magnetization: 0.1 μB per cell
- Distance to the lowest polymorph of the same formula: 0.000 eV/atom
- Calculated total energy: -21.57 eV/cell

***

Computed, not measured: crystalline BeBIr at its relaxed geometry at the PBE level of DFT.

Structure (extended XYZ):
```
3
Lattice="0.0000 2.5697 2.5697 2.5697 0.0000 2.5697 2.5697 2.5697 0.0000" Properties=species:S:1:pos:R:3 pbc="T T T"
B 1.2849 1.2849 1.2849
Be 3.8545 3.8545 3.8545
Ir 0.0000 0.0000 0.0000
```

Values from the calculation:
- Spin magnetization: 0.0 μB per cell
- Distance to the lowest polymorph of the same formula: 0.000 eV/atom
- Calculated total energy: -18.86 eV/cell

***

Computed, not measured: crystalline ZrIrPd at its relaxed geometry at the PBE level of DFT.

Structure (extended XYZ):
```
3
Lattice="0.0000 3.1232 3.1232 3.1232 0.0000 3.1232 3.1232 3.1232 0.0000" Properties=species:S:1:pos:R:3 pbc="T T T"
Ir 0.0000 0.0000 0.0000
Pd 1.5616 1.5616 1.5616
Zr 4.6848 4.6848 4.6848
```

Values from the calculation:
- Spin magnetization: 0.0 μB per cell
- Distance to the lowest polymorph of the same formula: 0.000 eV/atom
- Calculated total energy: -23.28 eV/cell

***

Computed, not measured: crystalline YZnCoSi at its relaxed geometry at the PBE level of DFT.

Structure (extended XYZ):
```
4
Lattice="-0.8136 1.1448 4.2713 0.1590 4.3192 1.2392 -3.7891 2.1752 1.0618" Properties=species:S:1:pos:R:3 pbc="T T T"
Co -3.3328 5.7294 4.9292
Si 0.0000 0.0000 0.0000
Y -1.1109 1.9098 1.6431
Zn -2.2219 3.8196 3.2861
```

Values from the calculation:
- Spin magnetization: 0.2 μB per cell
- Distance to the lowest polymorph of the same formula: 0.000 eV/atom
- Calculated total energy: -20.94 eV/cell

***

Computed, not measured: crystalline CdNiHgAs at its relaxed geometry at the PBE level of DFT.

Structure (extended XYZ):
```
4
Lattice="0.0000 3.3489 3.3489 3.3489 0.0000 3.3489 3.3489 3.3489 0.0000" Properties=species:S:1:pos:R:3 pbc="T T T"
As 0.0000 0.0000 0.0000
Cd 3.3489 3.3489 3.3489
Hg 1.6745 1.6745 1.6745
Ni 5.0234 5.0234 5.0234
```

Values from the calculation:
- Spin magnetization: 0.0 μB per cell
- Calculated total energy: -9.95 eV/cell

***

Computed, not measured: crystalline Zr3Zn4Se at its relaxed geometry at the PBE level of DFT.

Structure (extended XYZ):
```
16
Lattice="-5.7386 -4.4455 -1.2942 0.3313 -2.3087 6.9949 -0.5859 7.2098 -1.4295" Properties=species:S:1:pos:R:3 pbc="T T T"
Se 0.0000 0.0000 0.0000
Se -2.7036 -3.3771 2.8503
Zn -3.8923 -1.8283 0.0003
Zn -0.1967 0.0653 3.4484
Zn -5.0621 -0.2030 -1.4845
Zn -3.3053 0.4154 0.9147
Zn -2.6878 0.0402 3.3565
Zn -0.9310 0.6586 5.7557
Zn -5.7965 0.3903 0.8228
Zn -2.1009 2.2839 4.2709
Zr -1.3518 -1.6886 1.4252
Zr -4.0554 -5.0657 4.2755
Zr -1.7969 -2.1313 5.1864
Zr -1.0813 2.1147 1.4800
Zr -4.9119 -1.6591 2.7912
Zr -4.1962 2.5869 -0.9153
```

Values from the calculation:
- Spin magnetization: 0.1 μB per cell
- Calculated total energy: -76.75 eV/cell

***

Computed, not measured: crystalline Ta2AlMo at its relaxed geometry at the PBE level of DFT.

Structure (extended XYZ):
```
4
Lattice="0.0000 3.2318 3.2318 3.2318 0.0000 3.2318 3.2318 3.2318 0.0000" Properties=species:S:1:pos:R:3 pbc="T T T"
Al 0.0000 0.0000 0.0000
Mo 4.8478 4.8478 4.8478
Ta 1.6159 1.6159 1.6159
Ta 3.2318 3.2318 3.2318
```

Values from the calculation:
- Spin magnetization: 0.2 μB per cell
- Calculated total energy: -38.33 eV/cell

***

Computed, not measured: crystalline NaFeOsAu at its relaxed geometry at the PBE level of DFT.

Structure (extended XYZ):
```
4
Lattice="0.0000 3.1681 3.1681 3.1681 0.0000 3.1681 3.1681 3.1681 0.0000" Properties=species:S:1:pos:R:3 pbc="T T T"
Au 0.0000 0.0000 0.0000
Fe 3.1681 3.1681 3.1681
Na 4.7522 4.7522 4.7522
Os 1.5840 1.5840 1.5840
```

Values from the calculation:
- Spin magnetization: 3.9 μB per cell
- Distance to the lowest polymorph of the same formula: 0.000 eV/atom
- Calculated total energy: -21.27 eV/cell

***

calculated total energy of number 4 (Rb2Nb2Ni3)? -36.87 eV/cell